(1)
This record from the Alexandria database describes an optimized crystal structure of BaCdHgGe2. The functional is PBE-GGA.

Results
Crystal system   tetragonal
Calculated volume   250 Å³ per cell
N(E_F)   0.918 states/eV per atom
Formation enthalpy at 0 K   4.52 eV/f.u.
SG   P4/mmm (123)

```
data_BaCdHgGe2
_space_group_name_H-M_alt 'P 1'
_space_group_IT_number 1
_cell_length_a 6.1254
_cell_length_b 6.1254
_cell_length_c 6.6529
_cell_angle_alpha 90.00
_cell_angle_beta 90.00
_cell_angle_gamma 90.00
loop_
_space_group_symop_operation_xyz
'x,y,z'
loop_
_atom_site_label
_atom_site_fract_x
_atom_site_fract_y
_atom_site_fract_z
Ba1 0.0000 0.0000 0.0000
Cd1 0.5000 0.5000 0.5000
Hg1 0.0000 0.0000 0.5000
Ge1 0.0000 0.5000 0.0000
Ge2 0.5000 0.0000 0.0000
```

---

(2)
This record from the Alexandria database describes an optimized crystal structure of Ba2CdHgGe. The functional is PBE-GGA.

Results
Crystal system   tetragonal
Calculated volume   212 Å³ per cell
N(E_F)   0.933 states/eV per atom
Formation enthalpy at 0 K   -0.80 eV/f.u.
SG   P4/mmm (123)

```
data_Ba2CdHgGe
_space_group_name_H-M_alt 'P 1'
_space_group_IT_number 1
_cell_length_a 6.4186
_cell_length_b 6.4186
_cell_length_c 5.1533
_cell_angle_alpha 90.00
_cell_angle_beta 90.00
_cell_angle_gamma 90.00
loop_
_space_group_symop_operation_xyz
'x,y,z'
loop_
_atom_site_label
_atom_site_fract_x
_atom_site_fract_y
_atom_site_fract_z
Ba1 0.0000 0.5000 0.0000
Ba2 0.5000 0.0000 0.0000
Cd1 0.0000 0.0000 0.5000
Hg1 0.5000 0.5000 0.5000
Ge1 0.5000 0.5000 0.0000
```

---

(3)
This record from the Alexandria database describes an optimized crystal structure of Ba2Cd4HgGe3. The functional is PBE-GGA.

Results
Crystal system   tetragonal
Calculated volume   266 Å³ per cell
N(E_F)   0.247 states/eV per atom
Formation enthalpy at 0 K   -3.26 eV/f.u.
SG   P-4m2 (115)

```
data_Ba2Cd4HgGe3
_space_group_name_H-M_alt 'P 1'
_space_group_IT_number 1
_cell_length_a 4.7327
_cell_length_b 4.7327
_cell_length_c 11.8790
_cell_angle_alpha 90.00
_cell_angle_beta 90.00
_cell_angle_gamma 90.00
loop_
_space_group_symop_operation_xyz
'x,y,z'
loop_
_atom_site_label
_atom_site_fract_x
_atom_site_fract_y
_atom_site_fract_z
Ba1 0.0000 0.5000 0.2447
Ba2 0.5000 0.0000 0.7553
Cd1 0.0000 0.0000 0.0000
Cd2 0.0000 0.5000 0.6371
Cd3 0.5000 0.0000 0.3629
Cd4 0.5000 0.5000 0.0000
Hg1 0.0000 0.0000 0.5000
Ge1 0.0000 0.5000 0.8663
Ge2 0.5000 0.0000 0.1337
Ge3 0.5000 0.5000 0.5000
```

---

(4)
This record from the Alexandria database describes an optimized crystal structure of Ba2CdIn6Ge. The functional is PBE-GGA.

Results
Crystal system   orthorhombic
Calculated volume   637 Å³ per cell
N(E_F)   0.426 states/eV per atom
Formation enthalpy at 0 K   -2.24 eV/f.u.
SG   Pmmn (59)

```
data_Ba2CdIn6Ge
_space_group_name_H-M_alt 'P 1'
_space_group_IT_number 1
_cell_length_a 8.3082
_cell_length_b 9.8447
_cell_length_c 7.7828
_cell_angle_alpha 90.00
_cell_angle_beta 90.00
_cell_angle_gamma 90.00
loop_
_space_group_symop_operation_xyz
'x,y,z'
loop_
_atom_site_label
_atom_site_fract_x
_atom_site_fract_y
_atom_site_fract_z
Ba1 0.2500 0.0192 0.2171
Ba2 0.2500 0.4808 0.2171
Ba3 0.7500 0.5192 0.7829
Ba4 0.7500 0.9808 0.7829
Cd1 0.2500 0.7500 0.9113
Cd2 0.7500 0.2500 0.0887
In1 0.0557 0.2500 0.8830
In2 0.0755 0.7500 0.5163
In3 0.2500 0.0093 0.7244
In4 0.2500 0.4907 0.7244
In5 0.4245 0.7500 0.5163
In6 0.4443 0.2500 0.8830
In7 0.5557 0.7500 0.1170
In8 0.5755 0.2500 0.4837
In9 0.7500 0.5093 0.2756
In10 0.7500 0.9907 0.2756
In11 0.9245 0.2500 0.4837
In12 0.9443 0.7500 0.1170
Ge1 0.2500 0.2500 0.5276
Ge2 0.7500 0.7500 0.4724
```

---

(5)
This record from the Alexandria database describes an optimized crystal structure of BaCdInGe2. The functional is PBE-GGA.

Results
Crystal system   tetragonal
Calculated volume   134 Å³ per cell
N(E_F)   0.332 states/eV per atom
Formation enthalpy at 0 K   -1.65 eV/f.u.
SG   I-4m2 (119)

```
data_BaCdInGe2
_space_group_name_H-M_alt 'P 1'
_space_group_IT_number 1
_cell_length_a 7.0065
_cell_length_b 7.0065
_cell_length_c 7.0065
_cell_angle_alpha 141.29
_cell_angle_beta 141.29
_cell_angle_gamma 55.91
loop_
_space_group_symop_operation_xyz
'x,y,z'
loop_
_atom_site_label
_atom_site_fract_x
_atom_site_fract_y
_atom_site_fract_z
Ba1 0.0000 0.0000 0.0000
Cd1 0.2500 0.7500 0.5000
In1 0.7500 0.2500 0.5000
Ge1 0.3911 0.3911 0.0000
Ge2 0.6089 0.6089 0.0000
```

---

(6)
This record from the Alexandria database describes an optimized crystal structure of Ba2Cd3InGe4. The functional is PBE-GGA.

Results
Crystal system   tetragonal
Calculated volume   265 Å³ per cell
N(E_F)   0.446 states/eV per atom
Formation enthalpy at 0 K   -3.22 eV/f.u.
SG   P-4m2 (115)

```
data_Ba2Cd3InGe4
_space_group_name_H-M_alt 'P 1'
_space_group_IT_number 1
_cell_length_a 4.8254
_cell_length_b 4.8254
_cell_length_c 11.3598
_cell_angle_alpha 90.00
_cell_angle_beta 90.00
_cell_angle_gamma 90.00
loop_
_space_group_symop_operation_xyz
'x,y,z'
loop_
_atom_site_label
_atom_site_fract_x
_atom_site_fract_y
_atom_site_fract_z
Ba1 0.0000 0.5000 0.2416
Ba2 0.5000 0.0000 0.7584
Cd1 0.0000 0.5000 0.8751
Cd2 0.5000 0.0000 0.1249
Cd3 0.5000 0.5000 0.5000
In1 0.0000 0.0000 0.5000
Ge1 0.0000 0.0000 0.0000
Ge2 0.0000 0.5000 0.6361
Ge3 0.5000 0.0000 0.3639
Ge4 0.5000 0.5000 0.0000
```

---

(7)
This record from the Alexandria database describes an optimized crystal structure of Ba2CdIn3Ge4. The functional is PBE-GGA.

Results
Crystal system   tetragonal
Calculated volume   274 Å³ per cell
N(E_F)   0.154 states/eV per atom
Formation enthalpy at 0 K   -3.08 eV/f.u.
SG   P-4m2 (115)

```
data_Ba2CdIn3Ge4
_space_group_name_H-M_alt 'P 1'
_space_group_IT_number 1
_cell_length_a 5.0544
_cell_length_b 5.0544
_cell_length_c 10.7354
_cell_angle_alpha 90.00
_cell_angle_beta 90.00
_cell_angle_gamma 90.00
loop_
_space_group_symop_operation_xyz
'x,y,z'
loop_
_atom_site_label
_atom_site_fract_x
_atom_site_fract_y
_atom_site_fract_z
Ba1 0.0000 0.5000 0.2421
Ba2 0.5000 0.0000 0.7579
Cd1 0.0000 0.0000 0.5000
In1 0.0000 0.5000 0.8797
In2 0.5000 0.0000 0.1203
In3 0.5000 0.5000 0.5000
Ge1 0.0000 0.0000 0.0000
Ge2 0.0000 0.5000 0.6260
Ge3 0.5000 0.0000 0.3740
Ge4 0.5000 0.5000 0.0000
```

---

(8)
This record from the Alexandria database describes an optimized crystal structure of Ba2CdIn4Ge3. The functional is PBE-GGA.

Results
Crystal system   tetragonal
Calculated volume   285 Å³ per cell
N(E_F)   0.396 states/eV per atom
Formation enthalpy at 0 K   -2.93 eV/f.u.
SG   P-4m2 (115)

```
data_Ba2CdIn4Ge3
_space_group_name_H-M_alt 'P 1'
_space_group_IT_number 1
_cell_length_a 5.0693
_cell_length_b 5.0693
_cell_length_c 11.0935
_cell_angle_alpha 90.00
_cell_angle_beta 90.00
_cell_angle_gamma 90.00
loop_
_space_group_symop_operation_xyz
'x,y,z'
loop_
_atom_site_label
_atom_site_fract_x
_atom_site_fract_y
_atom_site_fract_z
Ba1 0.0000 0.5000 0.2433
Ba2 0.5000 0.0000 0.7567
Cd1 0.5000 0.5000 0.0000
In1 0.0000 0.0000 0.5000
In2 0.0000 0.5000 0.8714
In3 0.5000 0.0000 0.1286
In4 0.5000 0.5000 0.5000
Ge1 0.0000 0.0000 0.0000
Ge2 0.0000 0.5000 0.6233
Ge3 0.5000 0.0000 0.3767
```

---

(9)
This record from the Alexandria database describes an optimized crystal structure of BaCdGeIr. The functional is PBE-GGA.

Results
Crystal system   tetragonal
Calculated volume   221 Å³ per cell
N(E_F)   0.443 states/eV per atom
Formation enthalpy at 0 K   -1.85 eV/f.u.
SG   P4/nmm (129)

```
data_BaCdGeIr
_space_group_name_H-M_alt 'P 1'
_space_group_IT_number 1
_cell_length_a 4.2164
_cell_length_b 4.2164
_cell_length_c 12.4350
_cell_angle_alpha 90.00
_cell_angle_beta 90.00
_cell_angle_gamma 90.00
loop_
_space_group_symop_operation_xyz
'x,y,z'
loop_
_atom_site_label
_atom_site_fract_x
_atom_site_fract_y
_atom_site_fract_z
Ba1 0.2500 0.2500 0.2346
Ba2 0.7500 0.7500 0.7654
Cd1 0.2500 0.7500 0.5000
Cd2 0.7500 0.2500 0.5000
Ge1 0.2500 0.2500 0.8937
Ge2 0.7500 0.7500 0.1063
Ir1 0.2500 0.7500 0.0000
Ir2 0.7500 0.2500 0.0000
```

---

(10)
This record from the Alexandria database describes an optimized crystal structure of Ba2CdGeIr. The functional is PBE-GGA.

Results
Crystal system   tetragonal
Calculated volume   181 Å³ per cell
N(E_F)   0.575 states/eV per atom
Formation enthalpy at 0 K   -1.54 eV/f.u.
SG   P4/mmm (123)

```
data_Ba2CdGeIr
_space_group_name_H-M_alt 'P 1'
_space_group_IT_number 1
_cell_length_a 6.1728
_cell_length_b 6.1728
_cell_length_c 4.7491
_cell_angle_alpha 90.00
_cell_angle_beta 90.00
_cell_angle_gamma 90.00
loop_
_space_group_symop_operation_xyz
'x,y,z'
loop_
_atom_site_label
_atom_site_fract_x
_atom_site_fract_y
_atom_site_fract_z
Ba1 0.0000 0.5000 0.0000
Ba2 0.5000 0.0000 0.0000
Cd1 0.0000 0.0000 0.5000
Ge1 0.5000 0.5000 0.5000
Ir1 0.5000 0.5000 0.0000
```

---

(11)
This record from the Alexandria database describes an optimized crystal structure of Ba2LiCdGe. The functional is PBE-GGA.

Results
Crystal system   tetragonal
Calculated volume   204 Å³ per cell
N(E_F)   1.020 states/eV per atom
Formation enthalpy at 0 K   -0.90 eV/f.u.
SG   P4/mmm (123)

```
data_Ba2LiCdGe
_space_group_name_H-M_alt 'P 1'
_space_group_IT_number 1
_cell_length_a 6.4535
_cell_length_b 6.4535
_cell_length_c 4.8881
_cell_angle_alpha 90.00
_cell_angle_beta 90.00
_cell_angle_gamma 90.00
loop_
_space_group_symop_operation_xyz
'x,y,z'
loop_
_atom_site_label
_atom_site_fract_x
_atom_site_fract_y
_atom_site_fract_z
Ba1 0.0000 0.5000 0.0000
Ba2 0.5000 0.0000 0.0000
Li1 0.0000 0.0000 0.5000
Cd1 0.5000 0.5000 0.5000
Ge1 0.0000 0.0000 0.0000
```

---

(12)
This record from the Alexandria database describes an optimized crystal structure of BaLiCdGe2. The functional is PBE-GGA.

Results
Crystal system   tetragonal
Calculated volume   123 Å³ per cell
N(E_F)   0.355 states/eV per atom
Formation enthalpy at 0 K   -2.22 eV/f.u.
SG   I-4m2 (119)

```
data_BaLiCdGe2
_space_group_name_H-M_alt 'P 1'
_space_group_IT_number 1
_cell_length_a 6.5402
_cell_length_b 6.5402
_cell_length_c 6.5402
_cell_angle_alpha 138.27
_cell_angle_beta 138.27
_cell_angle_gamma 60.48
loop_
_space_group_symop_operation_xyz
'x,y,z'
loop_
_atom_site_label
_atom_site_fract_x
_atom_site_fract_y
_atom_site_fract_z
Ba1 0.0000 0.0000 0.0000
Li1 0.7500 0.2500 0.5000
Cd1 0.2500 0.7500 0.5000
Ge1 0.3877 0.3877 0.0000
Ge2 0.6123 0.6123 0.0000
```